DFT (PBE) results for a relaxed LaAg2Mo crystal.

## Properties
SG = Cm (8)
E_form = 0.456 eV/atom
polymorph energy (0 for the lowest one) = 91.0 meV/atom

The structure in POSCAR format:
```
LaAg2Mo
1.0
5.0542 -1.4832 0.0000
5.0542 1.4832 0.0000
-0.9405 0.0000 5.5345
La Ag Mo
1 2 1
direct
0.0000 0.0000 0.0000
0.5106 0.5106 0.5150
0.7647 0.7647 0.2978
0.2526 0.2526 0.7515
```